Here is ScFeCl4 at its PBEsol-relaxed geometry from the Alexandria database. Energies are from meta-GGA SCAN.

Calculated values
As for the crystal system: cubic. For the total energy, the calculation gives -248.0 eV for the cell shown. Its formation energy from raw total energies is 0.38 eV per atom.

Cell lengths 7.933, 7.933, 7.933 Å; angles 90.00, 90.00, 90.00 degrees
Space group F-43m (No. 216)
One atom of each set of equivalent atoms:
Sc1 0.000 0.000 0.000 [4 per cell]
Fe1 0.250 0.250 0.750 [4 per cell]
Cl1 0.125 0.125 0.375 [16 per cell]

---

Here is YBe2Cu at its PBEsol-relaxed geometry from the Alexandria database. Energies are from meta-GGA SCAN.

Calculated values
The value obtained for the formation energy is 0.069 eV per atom. As for the crystal system: tetragonal. For the total energy, the calculation gives -51.5 eV for the cell shown.

Cell lengths 2.962, 2.962, 6.307 Å; angles 90.00, 90.00, 90.00 degrees
Space group P4/mmm (No. 123)
One atom of each set of equivalent atoms:
Y1 0.000 0.000 0.000 [1 per cell]
Be1 0.500 0.500 0.325 [2 per cell]
Cu1 0.000 0.000 0.500 [1 per cell]

---

Here is BaZr2As2 at its PBEsol-relaxed geometry from the Alexandria database. Energies are from meta-GGA SCAN.

Calculated values
The value obtained for the formation energy is -0.756 eV per atom. As for the crystal system: tetragonal. For the total energy, the calculation gives -290.2 eV for the cell shown.

Cell lengths 5.103, 5.103, 9.849 Å; angles 90.00, 90.00, 90.00 degrees
Space group I4/mmm (No. 139)
One atom of each set of equivalent atoms:
Ba1 0.000 0.000 0.000 [2 per cell]
Zr1 0.000 0.000 0.340 [4 per cell]
As1 0.000 0.500 0.250 [4 per cell]

---

Here is AsIr2N at its PBEsol-relaxed geometry from the Alexandria database. Energies are from meta-GGA SCAN.

Calculated values
As for the crystal system: tetragonal. For the total energy, the calculation gives -682.9 eV for the cell shown. Its formation energy from raw total energies is 0.24 eV per atom.

Cell lengths 4.832, 4.832, 10.635 Å; angles 90.00, 90.00, 90.00 degrees
Space group I-42d (No. 122)
One atom of each set of equivalent atoms:
As1 0.000 0.000 0.000 [4 per cell]
Ir1 0.166 0.250 0.625 [8 per cell]
N1 0.000 0.000 0.500 [4 per cell]

---

Number 1: volume 499.27 Å³ per cell. Number 2: volume 55.33 Å³ per cell. Number 3: volume 256.48 Å³ per cell. Number 4: volume 248.31 Å³ per cell.